Record 1
# Ba4SnAs4 (PBE, optimized geometry)
# Formation enthalpy at 0 K = -952 meV/atom
# VASP energy = -77.73 eV/cell
data_Ba4SnAs4
_chemical_formula_sum 'Ba8 Sn2 As8'
_space_group_name_H-M_alt 'P 42/n m c'
_space_group_IT_number 137
_cell_length_a 9.5846
_cell_length_b 9.5846
_cell_length_c 7.1117
_cell_angle_alpha 90.00
_cell_angle_beta 90.00
_cell_angle_gamma 90.00
loop_
_space_group_symop_operation_xyz
'x,y,z'
'-x,-y,-z'
'-y+1/2,x,z+1/2'
'y+1/2,-x,-z+1/2'
'-x+1/2,-y+1/2,z'
'x+1/2,y+1/2,-z'
'y,-x+1/2,z+1/2'
'-y,x+1/2,-z+1/2'
'x+1/2,-y,-z'
'-x+1/2,y,z'
'-y,-x,-z+1/2'
'y,x,z+1/2'
'-x,y+1/2,-z'
'x,-y+1/2,z'
'y+1/2,x+1/2,-z+1/2'
'-y+1/2,-x+1/2,z+1/2'
loop_
_atom_site_label
_atom_site_type_symbol
_atom_site_fract_x
_atom_site_fract_y
_atom_site_fract_z
Ba1 Ba 0.0189 0.2500 0.0723
Sn1 Sn 0.2500 0.7500 0.2500
As1 As 0.0194 0.7500 0.4603

Record 2
# SrCd2Cu (PBE, optimized geometry)
# Formation enthalpy at 0 K = 4 meV/atom
# VASP energy = -15.18 eV/cell
data_SrCd2Cu
_chemical_formula_sum 'Sr2 Cd4 Cu2'
_space_group_name_H-M_alt 'I 4/m m m'
_space_group_IT_number 139
_space_group_name_Hall '-I 4 2'
_cell_length_a 4.7232
_cell_length_b 4.7232
_cell_length_c 8.8298
_cell_angle_alpha 90.00
_cell_angle_beta 90.00
_cell_angle_gamma 90.00
loop_
_atom_site_label
_atom_site_type_symbol
_atom_site_fract_x
_atom_site_fract_y
_atom_site_fract_z
Sr1 Sr 0.0000 0.0000 0.0000
Cd1 Cd 0.0000 0.5000 0.2500
Cu1 Cu 0.0000 0.0000 0.5000

Record 3
# Gd2Er4H (PBE, optimized geometry)
# VASP energy = -98.62 eV/cell
data_Gd2Er4H
_chemical_formula_sum 'Gd4 Er8 H2'
_space_group_name_H-M_alt 'I 4/m m m'
_space_group_IT_number 139
_space_group_name_Hall '-I 4 2'
_cell_length_a 4.8013
_cell_length_b 4.8013
_cell_length_c 16.9856
_cell_angle_alpha 90.00
_cell_angle_beta 90.00
_cell_angle_gamma 90.00
loop_
_atom_site_label
_atom_site_type_symbol
_atom_site_fract_x
_atom_site_fract_y
_atom_site_fract_z
Gd1 Gd 0.0000 0.0000 0.1493
Er1 Er 0.0000 0.0000 0.3521
Er2 Er 0.0000 0.5000 0.0000
H1 H 0.0000 0.0000 0.5000

Record 4
# CsRb2Cl6F (PBE, optimized geometry)
# VASP energy = -47.43 eV/cell
# Formation energy without anion corrections = -0.80 eV per atom
data_CsRb2Cl6F
_chemical_formula_sum 'Cs2 Rb4 Cl12 F2'
_space_group_name_H-M_alt 'I 4/m m m'
_space_group_IT_number 139
_space_group_name_Hall '-I 4 2'
_cell_length_a 8.6451
_cell_length_b 8.6451
_cell_length_c 9.0939
_cell_angle_alpha 90.00
_cell_angle_beta 90.00
_cell_angle_gamma 90.00
loop_
_atom_site_label
_atom_site_type_symbol
_atom_site_fract_x
_atom_site_fract_y
_atom_site_fract_z
Cs1 Cs 0.0000 0.0000 0.0000
Rb1 Rb 0.0000 0.5000 0.2500
Cl1 Cl 0.0000 0.0000 0.2910
Cl2 Cl 0.2502 0.2502 0.0000
F1 F 0.0000 0.0000 0.5000

Look up the VASP energy of the first one.
-77.73 eV/cell